This record from Alexandria describes Ce2GaSi after structural relaxation. The functional is GGA-PBE.

Results
- Symmetry: P4/mmm
- Offset from the most stable computed form: 0.26 eV per formula unit
- E_form (uncorrected): -0.5015 eV per atom

a = 3.775 Å, b = 3.775 Å, c = 6.469 Å
α = 90.00°, β = 90.00°, γ = 90.00°
Last column: magnetic moment on the atom in μB.
Element x y z (fractional)
Ce 0.000 0.000 0.725  0.47
Ce 0.000 0.000 0.275  0.47
Si 0.500 0.500 0.500  -0.02
Ga 0.500 0.500 0.000  0.00